No. 1
# BaHg2C, relaxed, DFT PBE
# calculated total energy	-36.14	eV for the cell shown
# N(E_F)	2.31	states/eV/f.u.
# energy of formation from the pure elements	0.68	eV per atom
# crystal system	tetragonal
data_BaHg2C
_space_group_name_H-M_alt 'I 41/a m d'
_space_group_IT_number 141
_cell_length_a 6.993
_cell_length_b 6.993
_cell_length_c 9.908
_cell_angle_alpha 90.00
_cell_angle_beta 90.00
_cell_angle_gamma 90.00
loop_
_space_group_symop_operation_xyz
'x,y,z'
'-x,-y,-z'
'-y+1/4,x+3/4,z+1/4'
'y+1/4,-x+3/4,-z+1/4'
'-x+1/2,-y,z+1/2'
'x+1/2,y,-z+1/2'
'y+1/4,-x+1/4,z+3/4'
'-y+1/4,x+1/4,-z+3/4'
'x,-y,-z'
'-x,y,z'
'-y+1/4,-x+1/4,-z+3/4'
'y+1/4,x+1/4,z+3/4'
'-x+1/2,y,-z+1/2'
'x+1/2,-y,z+1/2'
'y+1/4,x+3/4,-z+1/4'
'-y+1/4,-x+3/4,z+1/4'
'x+1/2,y+1/2,z+1/2'
'-x+1/2,-y+1/2,-z+1/2'
'-y+3/4,x+1/4,z+3/4'
'y+3/4,-x+1/4,-z+3/4'
'-x,-y+1/2,z'
'x,y+1/2,-z'
'y+3/4,-x+3/4,z+1/4'
'-y+3/4,x+3/4,-z+1/4'
'x+1/2,-y+1/2,-z+1/2'
'-x+1/2,y+1/2,z+1/2'
'-y+3/4,-x+3/4,-z+1/4'
'y+3/4,x+3/4,z+1/4'
'-x,y+1/2,-z'
'x,-y+1/2,z'
'y+3/4,x+1/4,-z+3/4'
'-y+3/4,-x+1/4,z+3/4'
loop_
_atom_site_label
_atom_site_type_symbol
_atom_site_fract_x
_atom_site_fract_y
_atom_site_fract_z
_atom_site_occupancy
Ba1 Ba 0.000 0.250 0.375 1
Hg1 Hg 0.000 0.000 0.000 1
C1 C 0.000 0.250 0.875 1

=====

No. 2
# RbCdBiCl2, relaxed, DFT PBE
# calculated total energy	-9.80	eV for the cell shown
# formation energy (no corrections)	-69	meV/atom
# N(E_F)	4.23	states/eV/f.u.
# crystal system	tetragonal
data_RbCdBiCl2
_space_group_name_H-M_alt 'P 4/m m m'
_space_group_IT_number 123
_space_group_name_Hall '-P 4 2'
_cell_length_a 5.949
_cell_length_b 5.949
_cell_length_c 6.378
_cell_angle_alpha 90.00
_cell_angle_beta 90.00
_cell_angle_gamma 90.00
loop_
_atom_site_label
_atom_site_type_symbol
_atom_site_fract_x
_atom_site_fract_y
_atom_site_fract_z
_atom_site_occupancy
Rb1 Rb 0.000 0.000 0.000 1
Cd1 Cd 0.000 0.000 0.500 1
Bi1 Bi 0.500 0.500 0.500 1
Cl1 Cl 0.000 0.500 0.000 1

=====

What is the formula in the first record? BaHg2C

=====

Number 1 is which compound? BaHg2C